[1]
# BeAsPtO | OQMD via LeMat-Bulk | GGA-PBE | relaxed
data_BeAsPtO
_space_group_name_H-M_alt 'P 1'
_space_group_IT_number 1
_space_group_name_Hall 'P 1'
_cell_length_a 3.668
_cell_length_b 3.668
_cell_length_c 8.839
_cell_angle_alpha 90.00
_cell_angle_beta 90.00
_cell_angle_gamma 90.00
loop_
_atom_site_label
_atom_site_type_symbol
_atom_site_fract_x
_atom_site_fract_y
_atom_site_fract_z
Be1 Be 0.250 0.250 0.013
Be2 Be 0.750 0.750 0.987
As1 As 0.250 0.250 0.305
As2 As 0.750 0.750 0.695
Pt1 Pt 0.250 0.750 0.500
Pt2 Pt 0.750 0.250 0.500
O1 O 0.250 0.750 0.000
O2 O 0.750 0.250 0.000
# Final energy: -5.777 eV/atom

[2]
# ScTcPO | OQMD via LeMat-Bulk | GGA-PBE | relaxed
data_ScTcPO
_space_group_name_H-M_alt 'P 1'
_space_group_IT_number 1
_space_group_name_Hall 'P 1'
_cell_length_a 4.274
_cell_length_b 4.480
_cell_length_c 5.767
_cell_angle_alpha 90.00
_cell_angle_beta 90.00
_cell_angle_gamma 90.00
loop_
_atom_site_label
_atom_site_type_symbol
_atom_site_fract_x
_atom_site_fract_y
_atom_site_fract_z
Sc1 Sc 0.000 0.208 0.000
Sc2 Sc 0.000 0.792 0.500
Tc1 Tc 0.500 0.374 0.341
Tc2 Tc 0.500 0.626 0.841
P1 P 0.500 0.129 0.700
P2 P 0.500 0.871 0.200
O1 O 0.000 0.393 0.326
O2 O 0.000 0.607 0.826
# Final energy: -8.192 eV/atom

Number 1: energy above the most stable polymorph in this dataset 0.0 meV per atom. Number 2: energy above the most stable polymorph in this dataset 317.2 meV per atom.